No. 1
# Y2HgAs

A geometry-optimized Y2HgAs structure (GGA-PBE, Alexandria via LeMat-Bulk).

```
Y2HgAs
1.0
-3.242 -0.486 2.315
-0.984 -3.655 1.334
2.913 -0.248 7.508
Y Hg As
2 1 1
direct
0.072 0.072 0.784
0.262 0.262 0.215
0.499 0.499 0.503
0.668 0.668 0.997
```

* total energy: -5.372 eV per atom
* ΔE_f: -0.902 eV/atom
* space-group type: R3m
* excess energy over the best structure of this formula in the dataset: 1.15 kcal/mol of atoms

No. 2
# YHgAs

A geometry-optimized YHgAs structure (GGA-PBE, Alexandria via LeMat-Bulk).

```
YHgAs
1.0
-1.076 -4.692 1.001
2.838 -3.604 -1.769
2.871 -2.585 3.041
Y As Hg
1 1 1
direct
0.750 0.750 0.750
0.000 0.000 0.000
0.500 0.500 0.500
```

* total energy: -4.391 eV per atom
* ΔE_f: -0.586 eV/atom
* space-group type: F-43m
* excess energy over the best structure of this formula in the dataset: 2.65 kcal/mol of atoms

No. 3
# Y2HgAs

A geometry-optimized Y2HgAs structure (GGA-PBE, Alexandria via LeMat-Bulk).

```
Y2HgAs
1.0
5.224 0.000 0.000
2.612 4.524 0.000
2.612 1.508 4.265
Y As Hg
2 1 1
direct
0.000 0.000 0.000
0.250 0.250 0.250
0.500 0.500 0.500
0.750 0.750 0.750
```

* total energy: -4.508 eV per atom
* ΔE_f: -0.038 eV/atom
* space-group type: F-43m
* excess energy over the best structure of this formula in the dataset: 21.08 kcal/mol of atoms

No. 4
# YHgAs

A geometry-optimized YHgAs structure (GGA-PBE, Alexandria via LeMat-Bulk).

```
YHgAs
1.0
6.847 -0.012 0.000
4.520 5.143 0.000
-5.683 -2.565 2.828
Y As Hg
1 1 1
direct
0.572 0.572 0.000
0.098 0.098 0.000
0.330 0.330 0.000
```

* total energy: -4.476 eV per atom
* ΔE_f: -0.671 eV/atom
* space-group type: I4mm
* excess energy over the best structure of this formula in the dataset: 0.69 kcal/mol of atoms